Here is a geometry-optimized Ba2CaZn structure from Alexandria. Energies are from GGA-PBEsol.

Cell: 4.0259 6.0924 13.0478 Å, 90.00 90.00 90.00°
Space group Imm2 (No. 44)
Unique sites:
Ba  0.0000  0.0000  0.0000 x2
Ba  0.0000  0.5000  0.1901 x2
Ca  0.0000  0.5000  0.8075 x2
Zn  0.0000  0.0000  0.4871 x2

Output
* uncorrected energy: -2.0424 eV/atom
* ΔH_f (0 K): -0.039 eV per atom
* crystal system: orthorhombic
* volume: 320.03 Å³/cell


Here is a geometry-optimized AlCdNi2 structure from Alexandria. Energies are from GGA-PBEsol.

Cell: 4.1892 4.1892 3.0053 Å, 90.00 90.00 90.00°
Space group P4/mmm (No. 123)
Unique sites:
Al  0.0000  0.0000  0.0000 x1
Cd  0.5000  0.5000  0.0000 x1
Ni  0.0000  0.5000  0.5000 x2

Output
* uncorrected energy: -4.6372 eV/atom
* ΔH_f (0 K): -0.236 eV per atom
* crystal system: tetragonal
* volume: 52.74 Å³/cell


Here is a geometry-optimized Ta8Al structure from Alexandria. Energies are from GGA-PBEsol.

Cell: 9.6700 9.6700 3.3569 Å, 90.00 90.00 90.00°
Space group I4/mmm (No. 139)
Unique sites:
Ta  0.0000  0.3312  0.0000 x8
Ta  0.1661  0.1661  0.5000 x8
Al  0.0000  0.0000  0.0000 x2

Output
* uncorrected energy: -11.6444 eV/atom
* ΔH_f (0 K): -0.033 eV per atom
* crystal system: tetragonal
* volume: 313.90 Å³/cell


Here is a geometry-optimized YScMo2 structure from Alexandria. Energies are from GGA-PBEsol.

Cell: 3.0784 4.2994 6.0633 Å, 90.00 101.83 90.00°
Space group Pm (No. 6)
Unique sites:
Y  0.0000  0.0000  0.0000 x1
Sc  0.2747  0.5000  0.6887 x1
Mo  0.5411  0.0000  0.4531 x1
Mo  0.7197  0.5000  0.2703 x1

Output
* uncorrected energy: -8.9737 eV/atom
* ΔH_f (0 K): 0.267 eV per atom
* crystal system: monoclinic
* volume: 78.55 Å³/cell
* polymorph energy (0 for the lowest one): 17.6 kJ per mole of atoms